1.
Ac2ZnPRh6 | PBE | optimized geometry

As for the volume: 19.56 A^3/atom. The calculation puts the energy relative to the elements at -0.53 eV/atom.

The structure belongs to space group Fm-3m (No. 225); the cell edges are 9.214, 9.214 and 9.214 Å and the angles 90.00°, 90.00° and 90.00°. The distinct sites, in fractional coordinates, are Ac at (0.250, 0.250, 0.250), Zn at (0.000, 0.000, 0.000), P at (0.000, 0.000, 0.500) and Rh at (0.000, 0.000, 0.261).

***

2.
ReIrPdPt | PBE | optimized geometry

As for the volume: 15.07 A^3/atom. The calculation puts the energy relative to the elements at -0.14 eV/atom.

The structure belongs to space group P4mm (No. 99); the cell edges are 2.762, 2.762 and 7.900 Å and the angles 90.00°, 90.00° and 90.00°. The distinct sites, in fractional coordinates, are Re at (0.000, 0.000, 0.000), Ir at (0.500, 0.500, 0.772), Pd at (0.000, 0.000, 0.511) and Pt at (0.500, 0.500, 0.247).

***

3.
NaSm2USe5 | PBE | optimized geometry

The calculation puts the uncorrected formation energy at -1.3514 eV/atom. As for the volume: 31.21 A^3/atom.

The structure belongs to space group Immm (No. 71); the cell edges are 5.258, 7.372 and 14.494 Å and the angles 90.00°, 90.00° and 90.00°. The distinct sites, in fractional coordinates, are Na at (0.000, 0.000, 0.000), Sm at (0.000, 0.500, 0.202), U at (0.000, 0.000, 0.500), Se at (0.000, 0.243, 0.349) and Se at (0.000, 0.500, 0.000).

***

4.
Pr3Nd2Cd | PBE | optimized geometry

As for the volume: 33.77 A^3/atom. The calculation puts the energy relative to the elements at -0.06 eV/atom.

The structure belongs to space group C2/m (No. 12); the cell edges are 13.179, 3.700 and 16.835 Å and the angles 90.00°, 99.19° and 90.00°. The distinct sites, in fractional coordinates, are Pr at (0.140, 0.000, 0.399), Pr at (0.156, 0.500, 0.930), Pr at (0.214, 0.000, 0.753), Nd at (0.083, 0.000, 0.106), Nd at (0.094, 0.500, 0.580) and Cd at (0.009, 0.500, 0.250).

***

no.,E (eV for the cell shown)
1,-257.1
2,-33.1
3,-103.3
4,-100.7